Density functional theory data (PBE) for CsFe3N after structural relaxation.

The energy above the most stable polymorph in this dataset comes out at 2401 meV per atom. The total energy is -0.12698 hartree per atom. As for the total magnetization: 8.173 μB per formula unit.

The structure in POSCAR format:
```
CsFe3N
1.0
4.7541 0.0000 0.0000
0.0000 4.7541 0.0000
0.0000 0.0000 4.7541
Cs Fe N
1 3 1
direct
0.0000 0.0000 0.0000
0.0000 0.0000 0.5000
0.0000 0.5000 0.0000
0.5000 0.0000 0.0000
0.5000 0.5000 0.5000
```



Density functional theory data (PBE) for Cs3FeN after structural relaxation.

The total energy is -0.07650 hartree per atom. As for the total magnetization: 0.006 μB per formula unit.

The structure in POSCAR format:
```
Cs3FeN
1.0
5.5250 0.0000 0.0000
0.0000 5.5250 0.0000
0.0000 0.0000 5.5250
Cs Fe N
3 1 1
direct
0.0000 0.0000 0.5000
0.0000 0.5000 0.0000
0.5000 0.0000 0.0000
0.0000 0.0000 0.0000
0.5000 0.5000 0.5000
```



total magnetization of number 2 (Cs3FeN)?
0.006 μB per formula unit



Which of these has the highest total magnetization?
CsFe3N



total magnetization of number 1 (CsFe3N)?
8.173 μB per formula unit